No. 1
Fe2SiAg: relaxed, GGA-PBEsol.

Summary:
E_tot ... -26.3 eV for the cell shown
Calculated density ... 8.206 Mg/m³
Size of the total moment ... 4.2 μB per formula unit
Fermi-level density of states ... 3.31 states/eV/cell
ΔE_f (raw) ... 0.700 eV per formula unit

```
4
Lattice="-3.269 -1.801 1.787 0.519 -2.371 3.352 -1.327 1.317 3.692" Properties=species:S:1:pos:R:3 pbc="T T T"
Si -3.057 -2.141 6.623
Fe 0.000 0.000 0.000
Fe -1.019 -0.714 2.208
Ag -2.038 -1.427 4.416
```



No. 2
FeAg3Sn: relaxed, GGA-PBEsol.

Summary:
Energy relative to the elements ... 889.3 meV/atom
E_tot ... -18.7 eV for the cell shown
Calculated density ... 7.663 Mg/m³
Size of the total moment ... 3.0 μB per formula unit
Fermi-level density of states ... 3.62 states/eV/cell

```
5
Lattice="-0.810 3.648 2.951 -4.558 0.100 -1.374 -1.115 -3.059 3.474" Properties=species:S:1:pos:R:3 pbc="T T T"
Ag -0.405 1.824 1.476
Ag -2.279 0.050 -0.687
Ag -0.557 -1.529 1.737
Fe 0.000 0.000 0.000
Sn -3.241 0.344 2.526
```



No. 3
Sr4FeAg: relaxed, GGA-PBEsol.

Summary:
Energy relative to the elements ... 1056.6 meV/atom
E_tot ... -13.3 eV for the cell shown
Calculated density ... 3.886 Mg/m³
Size of the total moment ... 2.0 μB per formula unit
Fermi-level density of states ... 12.05 states/eV/cell

```
6
Lattice="6.773 0.000 0.000 3.387 5.866 0.000 3.387 1.955 5.530" Properties=species:S:1:pos:R:3 pbc="T T T"
Sr 6.773 5.873 2.071
Sr 5.074 2.929 2.071
Sr 6.773 3.910 4.847
Sr 8.473 2.929 2.071
Ag 10.160 5.866 4.148
Fe 0.000 0.000 0.000
```



No. 4
Sr2FeAg: relaxed, GGA-PBEsol.

Summary:
Energy relative to the elements ... 399.1 meV/atom
E_tot ... -14.4 eV for the cell shown
Calculated density ... 5.304 Mg/m³
Size of the total moment ... 2.3 μB per formula unit
Fermi-level density of states ... 6.28 states/eV/cell

```
4
Lattice="-0.126 -3.203 1.693 1.092 -2.509 -4.667 5.295 0.348 1.052" Properties=species:S:1:pos:R:3 pbc="T T T"
Ag 3.131 -2.682 -0.961
Sr 2.648 0.174 0.526
Sr 0.546 -1.255 -2.333
Fe -0.063 -1.602 0.847
```



No. 5
Sr2FeAg: relaxed, GGA-PBEsol.

Summary:
Energy relative to the elements ... 290.4 meV/atom
E_tot ... -14.8 eV for the cell shown
Calculated density ... 4.894 Mg/m³
Size of the total moment ... 2.3 μB per formula unit
Fermi-level density of states ... 6.36 states/eV/cell

```
4
Lattice="4.488 0.000 0.000 0.000 4.505 0.000 0.000 -2.253 5.688" Properties=species:S:1:pos:R:3 pbc="T T T"
Fe 2.244 2.253 2.256
Sr 2.244 0.000 4.496
Sr 0.000 0.000 1.213
Ag 0.000 2.253 3.495
```



No. 6
Sr2FeAg: relaxed, GGA-PBEsol.

Summary:
Energy relative to the elements ... 378.8 meV/atom
E_tot ... -14.4 eV for the cell shown
Calculated density ... 5.306 Mg/m³
Size of the total moment ... 2.2 μB per formula unit
Fermi-level density of states ... 6.46 states/eV/cell

```
4
Lattice="-0.301 -1.186 3.505 -3.379 -1.339 -0.743 3.115 -6.750 -2.017" Properties=species:S:1:pos:R:3 pbc="T T T"
Fe -0.282 -4.637 0.372
Ag -1.840 -1.263 1.381
Sr -2.574 -3.076 -1.262
Sr 2.311 -5.013 -1.498
```